Entry 1:
Computed, not measured: Co2SbW after structural relaxation at the GGA-PBE level of DFT.

Properties
Space-group type = I-42d, No. 122
Formation energy from raw total energies = 2.82 eV/f.u.

Lattice parameters (Å, degrees): 4.046 4.046 8.527 76.28 76.28 90.00
Site moments in Bohr magnetons follow the coordinates.
Element x y z (fractional)
Co1 0.875 0.902 0.750  0.12
Co2 0.375 0.348 0.750  0.12
Co3 0.098 0.625 0.250  0.10
Co4 0.652 0.125 0.250  0.10
W1 0.750 0.250 0.500  -0.04
W2 0.000 0.000 0.000  -0.04
Sb1 0.500 0.500 0.000  0.00
Sb2 0.250 0.750 0.500  0.00

Entry 2:
Computed, not measured: CoSbW2 after structural relaxation at the GGA-PBE level of DFT.

Properties
Space-group type = Cmmm, No. 65
Formation energy from raw total energies = 2.35 eV/f.u.

Lattice parameters (Å, degrees): 2.999 2.999 7.096 90.00 90.00 90.13
Site moments in Bohr magnetons follow the coordinates.
Element x y z (fractional)
Co1 0.500 0.500 0.250  0.90
W1 0.000 0.000 0.469  -0.02
W2 0.000 0.000 0.031  -0.02
Sb1 0.500 0.500 0.750  -0.01

Entry 3:
Computed, not measured: Co2SbW after structural relaxation at the GGA-PBE level of DFT.

Properties
Space-group type = R-3m, No. 166
Formation energy from raw total energies = 1.78 eV/f.u.

Lattice parameters (Å, degrees): 8.202 8.202 8.202 20.81 20.81 20.81
Site moments in Bohr magnetons follow the coordinates.
Element x y z (fractional)
Co1 0.004 0.004 0.004  0.68
Co2 0.496 0.496 0.496  0.68
Sb1 0.250 0.250 0.250  -0.01
W1 0.750 0.750 0.750  0.10

Entry 4:
Computed, not measured: Co2SbW after structural relaxation at the GGA-PBE level of DFT.

Properties
Space-group type = Pmm2, No. 25
Formation energy from raw total energies = 1.46 eV/f.u.

Lattice parameters (Å, degrees): 2.894 3.590 5.593 90.00 90.00 90.00
Element x y z (fractional)
Sb1 0.000 0.000 0.464
W1 0.500 0.500 0.797
Co1 0.500 0.500 0.240
Co2 0.000 0.000 0.999

Entry 5:
Computed, not measured: CoSbW2 after structural relaxation at the GGA-PBE level of DFT.

Properties
Space-group type = R-3m, No. 166
Formation energy from raw total energies = 2.68 eV/f.u.

Lattice parameters (Å, degrees): 8.996 8.996 8.996 18.70 18.70 18.70
Site moments in Bohr magnetons follow the coordinates.
Element x y z (fractional)
Sb1 0.750 0.750 0.750  0.00
W1 0.508 0.508 0.508  -0.03
W2 0.992 0.992 0.992  -0.03
Co1 0.250 0.250 0.250  0.47

Entry 6:
Computed, not measured: CoSbW after structural relaxation at the GGA-PBE level of DFT.

Properties
Space-group type = F-43m, No. 216
Energy above the lowest structure with this stoichiometry = 0.339 eV/atom
Formation energy from raw total energies = 2.21 eV/f.u.

Lattice parameters (Å, degrees): 4.339 4.339 4.339 60.00 60.00 60.00
Site moments in Bohr magnetons follow the coordinates.
Element x y z (fractional)
Co1 0.000 0.000 0.000  0.88
Sb1 0.500 0.500 0.500  0.03
W1 0.750 0.750 0.750  -0.26

Entry 7:
Computed, not measured: Co2SbW after structural relaxation at the GGA-PBE level of DFT.

Properties
Space-group type = I-4m2, No. 119
Formation energy from raw total energies = 1.26 eV/f.u.

Lattice parameters (Å, degrees): 4.839 4.839 4.839 134.28 134.30 66.64
Site moments in Bohr magnetons follow the coordinates.
Element x y z (fractional)
Co1 0.000 0.000 0.000  0.24
Co2 0.750 0.250 0.500  0.68
Sb1 0.500 0.500 0.000  0.01
W1 0.250 0.750 0.500  0.16

Entry 8:
Computed, not measured: CoSbW2 after structural relaxation at the GGA-PBE level of DFT.

Properties
Space-group type = Cmm2, No. 35
Formation energy from raw total energies = 1.86 eV/f.u.

Lattice parameters (Å, degrees): 2.919 2.919 7.863 90.00 90.00 103.27
Element x y z (fractional)
W1 0.000 0.000 0.016
W2 0.500 0.500 0.273
Co1 0.000 0.000 0.483
Sb1 0.500 0.500 0.728

no.,DOS(E_F) (states/eV per atom)
1,0.9613
2,1.1156
3,1.1186
4,0.9825
5,0.9090
6,1.2801
7,1.1908
8,0.4649